Record 1
A plane-wave DFT calculation with PBE-GGA was carried out for a relaxed MoOsPd crystal.

Properties
energy above the lowest structure with this stoichiometry: 0.000 eV per atom
crystal system: orthorhombic
ΔH_f (0 K): -6 meV/atom
space-group type: Cmcm (63)

Lattice parameters (Å, degrees): 2.794 14.528 4.434 90.00 90.00 90.00
Atoms (fractional coordinates):
Mo (0.000, 0.115, 0.250)
Mo (0.000, 0.885, 0.750)
Mo (0.500, 0.385, 0.750)
Mo (0.500, 0.615, 0.250)
Os (0.000, 0.225, 0.750)
Os (0.000, 0.775, 0.250)
Os (0.500, 0.275, 0.250)
Os (0.500, 0.725, 0.750)
Pd (0.000, 0.445, 0.250)
Pd (0.000, 0.555, 0.750)
Pd (0.500, 0.055, 0.750)
Pd (0.500, 0.945, 0.250)

Record 2
A plane-wave DFT calculation with PBE-GGA was carried out for a relaxed Mo2Os2Pd crystal.

Properties
energy above the lowest structure with this stoichiometry: 0.000 eV per atom
crystal system: tetragonal
ΔH_f (0 K): 144 meV/atom
space-group type: P4/mbm (127)

Lattice parameters (Å, degrees): 7.449 7.449 2.877 90.00 90.00 90.00
Atoms (fractional coordinates):
Mo (0.163, 0.337, 0.000)
Mo (0.337, 0.837, 0.000)
Mo (0.663, 0.163, 0.000)
Mo (0.837, 0.663, 0.000)
Os (0.134, 0.634, 0.500)
Os (0.366, 0.134, 0.500)
Os (0.634, 0.866, 0.500)
Os (0.866, 0.366, 0.500)
Pd (0.000, 0.000, 0.500)
Pd (0.500, 0.500, 0.500)

Record 3
A plane-wave DFT calculation with PBE-GGA was carried out for a relaxed Mo2OsPd crystal.

Properties
energy above the lowest structure with this stoichiometry: 0.325 eV per atom
crystal system: cubic
ΔH_f (0 K): 348 meV/atom
space-group type: Fm-3m (225)

Lattice parameters (Å, degrees): 6.285 6.285 6.285 90.00 90.00 90.00
Atoms (fractional coordinates):
Mo (0.250, 0.250, 0.250)
Mo (0.250, 0.250, 0.750)
Mo (0.250, 0.750, 0.250)
Mo (0.250, 0.750, 0.750)
Mo (0.750, 0.250, 0.250)
Mo (0.750, 0.250, 0.750)
Mo (0.750, 0.750, 0.250)
Mo (0.750, 0.750, 0.750)
Os (0.000, 0.000, 0.000)
Os (0.000, 0.500, 0.500)
Os (0.500, 0.000, 0.500)
Os (0.500, 0.500, 0.000)
Pd (0.000, 0.000, 0.500)
Pd (0.000, 0.500, 0.000)
Pd (0.500, 0.000, 0.000)
Pd (0.500, 0.500, 0.500)

Record 4
A plane-wave DFT calculation with PBE-GGA was carried out for a relaxed Mo2OsPd crystal.

Properties
energy above the lowest structure with this stoichiometry: 0.622 eV per atom
crystal system: tetragonal
ΔH_f (0 K): 645 meV/atom
space-group type: I-42d (122)

Lattice parameters (Å, degrees): 7.102 7.102 5.386 90.00 90.00 90.00
Atoms (fractional coordinates):
Mo (0.224, 0.250, 0.125)
Mo (0.250, 0.724, 0.375)
Mo (0.250, 0.776, 0.875)
Mo (0.276, 0.250, 0.625)
Mo (0.724, 0.750, 0.625)
Mo (0.750, 0.224, 0.875)
Mo (0.750, 0.276, 0.375)
Mo (0.776, 0.750, 0.125)
Os (0.000, 0.000, 0.000)
Os (0.000, 0.500, 0.250)
Os (0.500, 0.000, 0.750)
Os (0.500, 0.500, 0.500)
Pd (0.000, 0.000, 0.500)
Pd (0.000, 0.500, 0.750)
Pd (0.500, 0.000, 0.250)
Pd (0.500, 0.500, 0.000)

Record 5
A plane-wave DFT calculation with PBE-GGA was carried out for a relaxed MoOs3Pd crystal.

Properties
energy above the lowest structure with this stoichiometry: 0.000 eV per atom
crystal system: cubic
ΔH_f (0 K): 2264 meV/atom
space-group type: Pm-3m (221)

Lattice parameters (Å, degrees): 4.667 4.667 4.667 90.00 90.00 90.00
Atoms (fractional coordinates):
Mo (0.000, 0.000, 0.000)
Os (0.000, 0.000, 0.500)
Os (0.000, 0.500, 0.000)
Os (0.500, 0.000, 0.000)
Pd (0.500, 0.500, 0.500)

Record 6
A plane-wave DFT calculation with PBE-GGA was carried out for a relaxed MoOsPd crystal.

Properties
energy above the lowest structure with this stoichiometry: 0.110 eV per atom
crystal system: tetragonal
ΔH_f (0 K): 104 meV/atom
space-group type: I4mm (107)

Lattice parameters (Å, degrees): 2.787 2.787 11.744 90.00 90.00 90.00
Atoms (fractional coordinates):
Mo (0.000, 0.000, 0.000)
Mo (0.500, 0.500, 0.500)
Os (0.000, 0.000, 0.652)
Os (0.500, 0.500, 0.152)
Pd (0.000, 0.000, 0.326)
Pd (0.500, 0.500, 0.826)

Record 7
A plane-wave DFT calculation with PBE-GGA was carried out for a relaxed MoOsPd crystal.

Properties
energy above the lowest structure with this stoichiometry: 0.262 eV per atom
crystal system: trigonal
ΔH_f (0 K): 256 meV/atom
space-group type: P3m1 (156)

Lattice parameters (Å, degrees): 4.455 4.455 2.657 90.00 90.00 120.00
Atoms (fractional coordinates):
Mo (0.000, 0.000, 0.000)
Os (0.667, 0.333, 0.497)
Pd (0.333, 0.667, 0.500)

Record 8
A plane-wave DFT calculation with PBE-GGA was carried out for a relaxed Mo2Os2Pd crystal.

Properties
energy above the lowest structure with this stoichiometry: 0.097 eV per atom
crystal system: tetragonal
ΔH_f (0 K): 241 meV/atom
space-group type: P4/mbm (127)

Lattice parameters (Å, degrees): 7.557 7.557 2.827 90.00 90.00 90.00
Atoms (fractional coordinates):
Mo (0.145, 0.355, 0.000)
Mo (0.355, 0.855, 0.000)
Mo (0.645, 0.145, 0.000)
Mo (0.855, 0.645, 0.000)
Os (0.149, 0.649, 0.500)
Os (0.351, 0.149, 0.500)
Os (0.649, 0.851, 0.500)
Os (0.851, 0.351, 0.500)
Pd (0.000, 0.000, 0.000)
Pd (0.500, 0.500, 0.000)

Record 9
A plane-wave DFT calculation with PBE-GGA was carried out for a relaxed MoOs3Pd crystal.

Properties
energy above the lowest structure with this stoichiometry: 0.583 eV per atom
crystal system: cubic
ΔH_f (0 K): 2847 meV/atom
space-group type: Pm-3m (221)

Lattice parameters (Å, degrees): 4.609 4.609 4.609 90.00 90.00 90.00
Atoms (fractional coordinates):
Mo (0.000, 0.000, 0.000)
Os (0.000, 0.500, 0.500)
Os (0.500, 0.000, 0.500)
Os (0.500, 0.500, 0.000)
Pd (0.500, 0.500, 0.500)

Record 10
A plane-wave DFT calculation with PBE-GGA was carried out for a relaxed Mo3OsPd crystal.

Properties
energy above the lowest structure with this stoichiometry: 0.000 eV per atom
crystal system: cubic
ΔH_f (0 K): 1598 meV/atom
space-group type: Pm-3m (221)

Lattice parameters (Å, degrees): 4.702 4.702 4.702 90.00 90.00 90.00
Atoms (fractional coordinates):
Mo (0.000, 0.000, 0.500)
Mo (0.000, 0.500, 0.000)
Mo (0.500, 0.000, 0.000)
Os (0.000, 0.000, 0.000)
Pd (0.500, 0.500, 0.500)

Record 11
A plane-wave DFT calculation with PBE-GGA was carried out for a relaxed RbMo2OsPd crystal.

Properties
crystal system: tetragonal
ΔH_f (0 K): 1865 meV/atom
space-group type: P4/mmm (123)

Lattice parameters (Å, degrees): 4.752 4.752 6.127 90.00 90.00 90.00
Atoms (fractional coordinates):
Rb (0.000, 0.000, 0.000)
Mo (0.000, 0.500, 0.500)
Mo (0.500, 0.000, 0.500)
Os (0.000, 0.000, 0.500)
Pd (0.500, 0.500, 0.000)

Record 12
A plane-wave DFT calculation with PBE-GGA was carried out for a relaxed SiMo2OsPd crystal.

Properties
crystal system: tetragonal
raw formation energy: 2267 meV/atom
space-group type: P4/mmm (123)

Lattice parameters (Å, degrees): 4.677 4.677 4.782 90.00 90.00 90.00
Atoms (fractional coordinates):
Si (0.000, 0.000, 0.000)
Mo (0.000, 0.500, 0.500)
Mo (0.500, 0.000, 0.500)
Os (0.500, 0.500, 0.000)
Pd (0.500, 0.500, 0.500)

no.,electronic total energy (eV for the cell shown)
1,-109.09
2,-97.19
3,-146.77
4,-142.02
5,-38.39
6,-53.88
7,-26.48
8,-96.22
9,-35.48
10,-40.93
11,-29.73
12,-32.17